1.
An optimized crystal structure of Pr2Nd2HoTm. Source: Alexandria, functional PBE.

- VASP energy (eV per atom) = -4.6297
- DOS(E_F) (states/eV/atom) = 1.53
- crystal system = orthorhombic
- energy relative to the elements (eV per atom) = 0.061

Cell lengths 5.7368, 7.1049, 9.9331 Å; angles 90.00, 90.00, 90.00 degrees
Closest atoms and distances in Å follow each position.
Sites, in units of the cell vectors:
Tm  0.0000  0.0075  0.4999  2 Tm 3.55, 2 Pr 3.66, 4 Ho 3.72, 6 Nd 3.76-3.78
Pr  0.5000  0.5077  0.9998  6 Pr 3.55-3.81, 6 Nd 3.75, 2 Ho 3.83
Ho  0.5000  0.7574  0.3419  5 Nd 3.23-3.55
Nd  0.5000  0.2576  0.3325  3 Ho 3.23-3.55, 2 Pr 3.25
Nd  0.0000  0.2576  0.8354  2 Ho 3.37, 7 Pr 3.40-3.75
Pr  0.5000  0.0077  0.0002  6 Pr 3.55-3.81, 6 Nd 3.75, 2 Ho 3.83
Pr  0.0000  0.7578  0.8222  5 Nd 3.25-3.56
Pr  0.0000  0.2578  0.1778  5 Nd 3.25-3.56
Tm  0.0000  0.5075  0.5001  2 Tm 3.55, 2 Pr 3.66, 4 Ho 3.72, 6 Nd 3.76-3.78
Nd  0.0000  0.7576  0.1646  2 Ho 3.37, 7 Pr 3.40-3.75
Ho  0.5000  0.2574  0.6581  5 Nd 3.23-3.55
Nd  0.5000  0.7576  0.6675  3 Ho 3.23-3.55, 2 Pr 3.25

***

2.
An optimized crystal structure of AlTlGe2. Source: Alexandria, functional PBE.

- VASP energy (eV per atom) = -3.4873
- DOS(E_F) (states/eV/atom) = 0.54
- energy above the lowest structure with this stoichiometry (eV per formula unit) = 0.77
- crystal system = cubic
- energy relative to the elements (eV per atom) = 0.349

Cell lengths 4.9814, 4.9814, 4.9814 Å; angles 60.00, 60.00, 60.00 degrees
Closest atoms and distances in Å follow each position.
Sites, in units of the cell vectors:
Al  0.0000  0.0000  0.0000  8 Ge 3.05
Ge  0.2500  0.2500  0.2500  4 Tl 3.05, 4 Al 3.05
Tl  0.5000  0.5000  0.5000  8 Ge 3.05
Ge  0.7500  0.7500  0.7500  4 Al 3.05, 4 Tl 3.05

***

3.
An optimized crystal structure of Rb4Hg6F19. Source: Alexandria, functional PBE.

- VASP energy (eV per atom) = -3.1179
- raw formation energy (eV/f.u.) = -49.2
- DOS(E_F) (states/eV/atom) = 0.90
- crystal system = cubic

Cell lengths 9.2472, 9.2472, 9.2472 Å; angles 109.47, 109.47, 109.47 degrees
Closest atoms and distances in Å follow each position.
Sites, in units of the cell vectors:
F  0.3042  0.9629  0.6800  2 Hg 2.21-2.28
F  0.3757  0.6586  0.6958  2 Hg 2.21-2.28
F  0.0000  0.6435  0.6435  2 Hg 2.32
Rb  0.0000  0.7010  0.0000  4 F 2.76-3.01
F  0.3200  0.2829  0.6243  2 Hg 2.21-2.28
Rb  0.7010  0.0000  0.0000  4 F 2.76-3.01
F  0.3565  0.3565  0.0000  2 Hg 2.32
F  0.6243  0.3200  0.2829  2 Hg 2.21-2.28
Hg  0.3363  0.5000  0.8363  6 F 2.21-2.32
Rb  0.2990  0.2990  0.2990  4 F 2.76-3.01
F  0.2829  0.6243  0.3200  2 Hg 2.21-2.28
F  0.9629  0.6800  0.3042  2 Hg 2.21-2.28
F  0.7171  0.0371  0.3414  2 Hg 2.21-2.28
Hg  0.1637  0.6637  0.5000  6 F 2.21-2.32
F  0.6435  0.0000  0.6435  2 Hg 2.32
F  0.6435  0.6435  0.0000  2 Hg 2.32
F  0.3565  0.0000  0.3565  2 Hg 2.32
Hg  0.8363  0.3363  0.5000  6 F 2.21-2.32
Rb  0.0000  0.0000  0.7010  4 F 2.76-3.01
F  0.6958  0.3757  0.6586  2 Hg 2.21-2.28
F  0.3414  0.7171  0.0371  2 Hg 2.21-2.28
F  0.0000  0.0000  0.0000  4 Rb 2.76
F  0.6800  0.3042  0.9629  2 Hg 2.21-2.28
Hg  0.6637  0.5000  0.1637  6 F 2.21-2.32
F  0.6586  0.6958  0.3757  2 Hg 2.21-2.28
F  0.0371  0.3414  0.7171  2 Hg 2.21-2.28
Hg  0.5000  0.1637  0.6637  6 F 2.21-2.32
Hg  0.5000  0.8363  0.3363  6 F 2.21-2.32
F  0.0000  0.3565  0.3565  2 Hg 2.32

***

4.
An optimized crystal structure of NdTm3Th2As6. Source: Alexandria, functional PBE.

- VASP energy (eV per atom) = -6.5498
- DOS(E_F) (states/eV/atom) = 0.32
- crystal system = monoclinic
- energy relative to the elements (eV per atom) = -1.473

Cell lengths 4.1743, 8.3037, 9.2945 Å; angles 102.56, 102.98, 90.00 degrees
Closest atoms and distances in Å follow each position.
Sites, in units of the cell vectors:
As  0.6700  0.0772  0.3399  3 Tm 2.90-2.91, 2 Th 2.98, 1 Nd 3.00
Tm  0.8345  0.1665  0.6690  6 As 2.88-2.91
As  0.3355  0.4107  0.6710  3 Tm 2.91, 3 Th 3.00
Nd  0.5000  0.0000  0.0000  6 As 3.00
Th  0.1655  0.3308  0.3310  6 As 2.96-3.00
Th  0.8345  0.6692  0.6690  6 As 2.96-3.00
As  0.9977  0.2584  0.9954  3 Tm 2.88-2.89, 1 Th 2.96, 2 Nd 3.00
As  0.6645  0.5893  0.3290  3 Tm 2.91, 3 Th 3.00
As  0.0023  0.7416  0.0046  3 Tm 2.88-2.89, 1 Th 2.96, 2 Nd 3.00
Tm  0.1655  0.8335  0.3310  6 As 2.88-2.91
As  0.3300  0.9228  0.6601  3 Tm 2.90-2.91, 2 Th 2.98, 1 Nd 3.00
Tm  0.5000  0.5000  0.0000  6 As 2.89-2.91